# CaBeAg2Pt

Crystalline CaBeAg2Pt at its relaxed geometry (GGA-PBE, Alexandria).

Cell and atoms, written as POSCAR:
```
CaBeAg2Pt
1.0
-3.290 1.996 -2.461
1.547 -2.084 -3.758
-2.689 -3.443 0.802
Be Ca Ag Pt
1 1 2 1
Cartesian
0.000 0.000 0.000 Be
-2.215 -1.766 -2.708 Ca
0.774 -1.042 -1.879 Ag
-1.645 0.998 -1.231 Ag
-1.344 -1.721 0.401 Pt
```

Properties
- VASP energy: -0.2769 Ry per atom
- Calculated density: 8.2 g cm⁻³
- Space-group type: No. 123
- Total magnetization: 0.00 μB/f.u.